one:
A relaxed Ti3AgAs crystal, computed with PBE-GGA.

Values from the calculation:
D(E_F)   3.3 states/eV per cell

a b c (Å): 4.6872 4.6872 4.6872
angles (deg): 90.00 90.00 90.00
Closest atoms and distances in Å follow each position.
Space group Pm-3m (No. 221)
One atom of each set of equivalent atoms:
Ti1 0.0000 0.0000 0.5000  2 As 2.34
Ag1 0.5000 0.5000 0.5000  12 Ti 3.31
As1 0.0000 0.0000 0.0000  6 Ti 2.34


two:
A relaxed Ti3AgAs crystal, computed with PBE-GGA.

Values from the calculation:
D(E_F)   4.3 states/eV per cell

a b c (Å): 4.8411 4.8411 4.8411
angles (deg): 90.00 90.00 90.00
Closest atoms and distances in Å follow each position.
Space group Pm-3m (No. 221)
One atom of each set of equivalent atoms:
Ti1 0.0000 0.0000 0.5000  2 Ag 2.42
Ag1 0.0000 0.0000 0.0000  6 Ti 2.42
As1 0.5000 0.5000 0.5000  12 Ti 3.42


Ranking the structures above from most stable to least stable yields one, two.